1.
PBE-GGA YEr4Al2, relaxed; relative energy among the computed polymorphs = 0.521 eV/atom; energy relative to the elements = 306 meV/atom; uncorrected energy = -4.294 eV/atom
1.0
-4.297 2.742 -2.311
1.023 -2.520 -4.892
-2.245 -4.831 5.220
Al Y Er
2 1 4
direct
0.385 0.385 0.769
0.615 0.615 0.231
0.000 0.000 0.000
0.250 0.750 0.500
0.000 0.500 0.000
0.500 0.000 0.000
0.750 0.250 0.500



2.
PBE-GGA KRb2Pb2, relaxed; relative energy among the computed polymorphs = 0.092 eV/atom; energy relative to the elements = 1 meV/atom; uncorrected energy = -2.089 eV/atom
1.0
10.773 0.000 0.000
0.000 10.773 0.000
0.000 0.000 3.953
Rb Pb K
4 4 2
direct
0.689 0.189 0.000
0.811 0.689 0.000
0.189 0.311 0.000
0.311 0.811 0.000
0.103 0.603 0.500
0.397 0.103 0.500
0.897 0.397 0.500
0.603 0.897 0.500
0.000 0.000 0.000
0.500 0.500 0.000



3.
PBE-GGA LiPmZn2Au2, relaxed; energy relative to the elements = -546 meV/atom; uncorrected energy = -3.174 eV/atom
1.0
4.517 0.000 0.000
-2.259 3.912 0.000
0.000 0.000 6.624
Li Pm Zn Au
1 1 2 2
direct
0.000 0.000 0.500
0.000 0.000 0.000
0.333 0.667 0.311
0.667 0.333 0.689
0.667 0.333 0.275
0.333 0.667 0.725